First-principles (PBE with a Hubbard U) data for crystalline NdFe2GeO6 at its relaxed geometry, as listed in Alexandria.

The structure in CIF format:
```
data_NdFe2GeO6
_chemical_formula_sum 'Nd1 Fe2 Ge1 O6'
_cell_length_a 5.220
_cell_length_b 5.228
_cell_length_c 5.681
_cell_angle_alpha 89.40
_cell_angle_beta 62.92
_cell_angle_gamma 60.09
_symmetry_space_group_name_H-M 'P 1'
_symmetry_Int_Tables_number 1
loop_
_symmetry_equiv_pos_as_xyz
'x,y,z'
loop_
_atom_site_label
_atom_site_fract_x
_atom_site_fract_y
_atom_site_fract_z
Nd1 0.000 0.000 0.000
Fe1 0.429 0.782 0.365
Fe2 0.474 0.267 0.802
Ge1 0.063 0.467 0.416
O1 0.252 0.185 0.603
O2 0.311 0.069 0.148
O3 0.481 0.453 0.158
O4 0.601 0.552 0.606
O5 0.923 0.625 0.153
O6 0.967 0.841 0.602
```

Output
raw total energy: -6.841 eV/atom
D(E_F): 0.00 states/eV per atom